Computed, not measured: CuAg after structural relaxation at the PBE level of DFT.

Calculated values
Its symmetry is P1. The total DFT energy (no corrections) is -3.18 eV/atom. The value obtained for the energy of formation is 17.4 kJ/mol of formula units.

Cell lengths 4.5825, 5.8828, 26.7570 Å; angles 86.82, 85.33, 89.89 degrees
Closest atoms and distances in Å follow each position.
Atoms (fractional coordinates):
1 Cu 0.0000 0.0000 0.0000  6 Cu 2.58-2.80, 5 Ag 2.65-2.82
2 Cu 0.0064 0.1415 0.2497  6 Cu 2.59-2.78, 5 Ag 2.68-2.72
3 Cu 0.0175 0.8714 0.4999  6 Cu 2.58-2.79, 5 Ag 2.65-2.82
4 Cu 0.0896 0.1830 0.0833  6 Cu 2.59-2.80, 5 Ag 2.68-2.72
5 Cu 0.1535 0.0760 0.6672  6 Cu 2.57-2.76, 5 Ag 2.65-2.79
6 Cu 0.1726 0.2250 0.9170  6 Cu 2.59-2.79, 5 Ag 2.68-2.72
7 Cu 0.1787 0.9578 0.1666  6 Cu 2.58-2.79, 5 Ag 2.65-2.83
8 Cu 0.2524 0.2695 0.7494  6 Cu 2.59-2.80, 5 Ag 2.68-2.72
9 Cu 0.3344 0.1187 0.3329  6 Cu 2.58-2.79, 5 Ag 2.65-2.83
10 Cu 0.3374 0.8479 0.5832  5 Cu 2.57-2.76, 6 Ag 2.68-2.82
11 Cu 0.3434 0.0433 0.8337  6 Cu 2.58-2.80, 5 Ag 2.64-2.83
12 Cu 0.4253 0.8926 0.4163  6 Cu 2.59-2.79, 5 Ag 2.68-2.72
13 Cu 0.5001 0.2025 0.0000  6 Cu 2.58-2.79, 5 Ag 2.65-2.83
14 Cu 0.5062 0.9356 0.2497  6 Cu 2.59-2.78, 5 Ag 2.68-2.72
15 Cu 0.5188 0.0738 0.4995  6 Cu 2.58-2.79, 5 Ag 2.66-2.82
16 Cu 0.5894 0.9773 0.0833  6 Cu 2.59-2.80, 5 Ag 2.68-2.72
17 Cu 0.6650 0.2921 0.6668  5 Cu 2.57-2.79, 6 Ag 2.69-2.85
18 Cu 0.6726 0.0194 0.9169  6 Cu 2.59-2.79, 5 Ag 2.68-2.72
19 Cu 0.6789 0.1603 0.1666  6 Cu 2.58-2.80, 5 Ag 2.65-2.82
20 Cu 0.7524 0.0634 0.7500  6 Cu 2.59-2.80, 5 Ag 2.68-2.73
21 Cu 0.8343 0.9165 0.3329  6 Cu 2.58-2.79, 5 Ag 2.65-2.82
22 Cu 0.8436 0.2448 0.8334  6 Cu 2.58-2.80, 5 Ag 2.65-2.82
23 Cu 0.8508 0.0646 0.5826  6 Cu 2.57-2.79, 5 Ag 2.64-2.79
24 Cu 0.9258 0.0980 0.4162  6 Cu 2.59-2.79, 5 Ag 2.67-2.73
25 Ag 0.0062 0.6861 0.2497  5 Cu 2.68-2.73, 6 Ag 2.85-2.88
26 Ag 0.0231 0.4567 0.0001  5 Cu 2.65-2.83, 6 Ag 2.85-2.86
27 Ag 0.0894 0.7279 0.0833  5 Cu 2.68-2.73, 6 Ag 2.85-2.88
28 Ag 0.1562 0.4139 0.1664  5 Cu 2.65-2.82, 6 Ag 2.85-2.86
29 Ag 0.1728 0.7696 0.9167  5 Cu 2.68-2.73, 6 Ag 2.85-2.88
30 Ag 0.1770 0.5494 0.6670  5 Cu 2.70-2.82, 6 Ag 2.80-2.88
31 Ag 0.2517 0.8135 0.7514  5 Cu 2.68-2.73, 6 Ag 2.83-2.88
32 Ag 0.3209 0.4974 0.8336  5 Cu 2.65-2.82, 6 Ag 2.84-2.86
33 Ag 0.3570 0.6628 0.3330  5 Cu 2.65-2.82, 6 Ag 2.85-2.86
34 Ag 0.3576 0.3037 0.5824  6 Cu 2.66-2.75, 5 Ag 2.81-2.88
35 Ag 0.4263 0.3480 0.4160  5 Cu 2.68-2.74, 6 Ag 2.84-2.88
36 Ag 0.4957 0.6187 0.4995  5 Cu 2.65-2.82, 6 Ag 2.84-2.86
37 Ag 0.5063 0.3909 0.2498  5 Cu 2.68-2.73, 6 Ag 2.85-2.88
38 Ag 0.5228 0.7464 0.0001  5 Cu 2.65-2.82, 6 Ag 2.85-2.86
39 Ag 0.5896 0.4325 0.0832  5 Cu 2.68-2.73, 6 Ag 2.85-2.88
40 Ag 0.6559 0.7037 0.1664  5 Cu 2.65-2.83, 6 Ag 2.85-2.86
41 Ag 0.6650 0.8346 0.6668  6 Cu 2.64-2.79, 5 Ag 2.80-2.88
42 Ag 0.6728 0.4743 0.9168  5 Cu 2.68-2.73, 6 Ag 2.85-2.88
43 Ag 0.7517 0.5196 0.7502  5 Cu 2.68-2.74, 6 Ag 2.84-2.88
44 Ag 0.8194 0.7885 0.8338  5 Cu 2.64-2.83, 6 Ag 2.84-2.86
45 Ag 0.8477 0.5912 0.5825  5 Cu 2.71-2.85, 6 Ag 2.81-2.88
46 Ag 0.8576 0.3729 0.3329  5 Cu 2.65-2.83, 6 Ag 2.85-2.86
47 Ag 0.9255 0.6435 0.4162  5 Cu 2.67-2.74, 6 Ag 2.85-2.88
48 Ag 0.9977 0.3279 0.4990  5 Cu 2.66-2.82, 6 Ag 2.83-2.88